Entry w
## Tl2SiAs (PBE)

Data for Tl2SiAs after structural relaxation.

Cell: 5.450 5.450 5.450 Å, 127.92 127.92 76.75°
Positions (direct):
Tl: 0.000 0.000 0.000
Tl: 0.250 0.750 0.500
Si: 0.750 0.250 0.500
As: 0.500 0.500 0.000

Values from the calculation:
The mass density comes out at 8.69 Mg/m³. The volume is 98 Å³/cell. As for the space group: I-4m2.

---

Entry x
## Tl2SiAs (PBE)

Data for Tl2SiAs after structural relaxation.

Cell: 3.706 4.997 6.404 Å, 68.01 90.00 90.00°
Positions (direct):
As: 0.000 0.687 0.505
Tl: 0.000 0.982 0.913
Tl: 0.500 0.280 0.313
Si: 0.500 0.551 0.769

Values from the calculation:
The mass density comes out at 7.73 Mg/m³. The volume is 110 Å³/cell. As for the space group: Pm.

---

Going by the energies, entry x is most stable and the next is 31.0 kJ/mol of atoms up.

---

Entry w
## Tl2SiAs (PBE)

Data for Tl2SiAs after structural relaxation.

Cell: 6.604 5.888 3.139 Å, 85.14 71.08 118.32°
Positions (direct):
Tl: 0.500 0.000 0.500
Tl: 0.000 0.000 0.000
As: 0.000 0.500 0.500
Si: 0.500 0.500 0.000

Values from the calculation:
The mass density comes out at 8.73 Mg/m³. The volume is 97 Å³/cell. As for the space group: C2/m.

---

Entry x
## Tl2SiAs (PBE)

Data for Tl2SiAs after structural relaxation.

Cell: 3.536 3.536 8.065 Å, 90.00 90.00 90.00°
Positions (direct):
Tl: 0.000 0.000 0.955
Tl: 0.500 0.500 0.291
As: 0.000 0.000 0.574
Si: 0.500 0.500 0.680

Values from the calculation:
The mass density comes out at 8.43 Mg/m³. The volume is 101 Å³/cell. As for the space group: P4mm.

---

Going by the energies, entry x is most stable and the next is 29.1 kJ/mol of atoms up.